1.
This record from the Alexandria database describes a relaxed structure of ZnSn2SeCl. The functional is PBE-GGA.

The structure in CIF format:
```
data_ZnSn2SeCl
_chemical_formula_sum 'Zn1 Sn2 Se1 Cl1'
_cell_length_a 5.389
_cell_length_b 5.389
_cell_length_c 4.815
_cell_angle_alpha 90.00
_cell_angle_beta 90.00
_cell_angle_gamma 90.00
_symmetry_space_group_name_H-M 'P 4/m m m'
_symmetry_Int_Tables_number 123
_symmetry_space_group_name_Hall '-P 4 2'
loop_
_atom_site_label
_atom_site_type_symbol
_atom_site_fract_x
_atom_site_fract_y
_atom_site_fract_z
_atom_site_occupancy
Zn1 Zn 0.000 0.000 0.000 1
Sn1 Sn 0.000 0.500 0.000 1
Se1 Se 0.000 0.000 0.500 1
Cl1 Cl 0.500 0.500 0.500 1
```

Values from the calculation:
Crystal system: tetragonal
Magnetic moment, Bohr magnetons per cell: 0.00
Uncorrected energy, eV per formula unit: -14.3
Volume, Å³/cell: 139.8

---

2.
This record from the Alexandria database describes a relaxed structure of SrSe4Cl. The functional is PBE-GGA.

The structure in CIF format:
```
data_SrSe4Cl
_chemical_formula_sum 'Sr4 Se16 Cl4'
_cell_length_a 8.261
_cell_length_b 8.261
_cell_length_c 8.261
_cell_angle_alpha 90.00
_cell_angle_beta 90.00
_cell_angle_gamma 90.00
_symmetry_space_group_name_H-M 'F -4 3 m'
_symmetry_Int_Tables_number 216
_symmetry_space_group_name_Hall 'F -4 2 3'
loop_
_atom_site_label
_atom_site_type_symbol
_atom_site_fract_x
_atom_site_fract_y
_atom_site_fract_z
_atom_site_occupancy
Sr1 Sr 0.000 0.000 0.000 1
Se1 Se 0.125 0.125 0.375 1
Cl1 Cl 0.250 0.250 0.750 1
```

Values from the calculation:
Crystal system: cubic
Magnetic moment, Bohr magnetons per cell: 0.00
Uncorrected energy, eV per formula unit: -20.4
Volume, Å³/cell: 563.7

---

3.
This record from the Alexandria database describes a relaxed structure of SrSeCl4. The functional is PBE-GGA.

The structure in CIF format:
```
data_SrSeCl4
_chemical_formula_sum 'Sr4 Se4 Cl16'
_cell_length_a 8.562
_cell_length_b 8.562
_cell_length_c 8.562
_cell_angle_alpha 90.00
_cell_angle_beta 90.00
_cell_angle_gamma 90.00
_symmetry_space_group_name_H-M 'F -4 3 m'
_symmetry_Int_Tables_number 216
_symmetry_space_group_name_Hall 'F -4 2 3'
loop_
_atom_site_label
_atom_site_type_symbol
_atom_site_fract_x
_atom_site_fract_y
_atom_site_fract_z
_atom_site_occupancy
Sr1 Sr 0.000 0.000 0.000 1
Se1 Se 0.250 0.250 0.250 1
Cl1 Cl 0.126 0.126 0.626 1
```

Values from the calculation:
Crystal system: cubic
Magnetic moment, Bohr magnetons per cell: 16.17
Uncorrected energy, eV per formula unit: -14.5
Volume, Å³/cell: 627.6

---

4.
This record from the Alexandria database describes a relaxed structure of Sr2Se2Cl. The functional is PBE-GGA.

The structure in CIF format:
```
data_Sr2Se2Cl
_chemical_formula_sum 'Sr4 Se4 Cl2'
_cell_length_a 8.241
_cell_length_b 8.241
_cell_length_c 4.265
_cell_angle_alpha 90.00
_cell_angle_beta 90.00
_cell_angle_gamma 90.00
_symmetry_space_group_name_H-M 'P 4/m b m'
_symmetry_Int_Tables_number 127
_symmetry_space_group_name_Hall '-P 4 2ab'
loop_
_atom_site_label
_atom_site_type_symbol
_atom_site_fract_x
_atom_site_fract_y
_atom_site_fract_z
_atom_site_occupancy
Sr1 Sr 0.175 0.325 0.000 1
Se1 Se 0.123 0.623 0.500 1
Cl1 Cl 0.000 0.000 0.000 1
```

Values from the calculation:
Crystal system: tetragonal
Magnetic moment, Bohr magnetons per cell: 2.00
Uncorrected energy, eV per formula unit: -21.1
Volume, Å³/cell: 289.7

---

5.
This record from the Alexandria database describes a relaxed structure of Sr3SeCl. The functional is PBE-GGA.

The structure in CIF format:
```
data_Sr3SeCl
_chemical_formula_sum 'Sr3 Se1 Cl1'
_cell_length_a 6.060
_cell_length_b 6.060
_cell_length_c 6.060
_cell_angle_alpha 90.00
_cell_angle_beta 90.00
_cell_angle_gamma 90.00
_symmetry_space_group_name_H-M 'P m -3 m'
_symmetry_Int_Tables_number 221
_symmetry_space_group_name_Hall '-P 4 2 3'
loop_
_atom_site_label
_atom_site_type_symbol
_atom_site_fract_x
_atom_site_fract_y
_atom_site_fract_z
_atom_site_occupancy
Sr1 Sr 0.000 0.000 0.500 1
Se1 Se 0.000 0.000 0.000 1
Cl1 Cl 0.500 0.500 0.500 1
```

Values from the calculation:
Crystal system: cubic
Magnetic moment, Bohr magnetons per cell: 1.17
Uncorrected energy, eV per formula unit: -14.8
Energy relative to the lowest polymorph listed for this composition, eV/atom: 0.000
Volume, Å³/cell: 222.5

---

6.
This record from the Alexandria database describes a relaxed structure of Sr6Se5Cl. The functional is PBE-GGA.

The structure in CIF format:
```
data_Sr6Se5Cl
_chemical_formula_sum 'Sr12 Se10 Cl2'
_cell_length_a 7.667
_cell_length_b 13.279
_cell_length_c 7.665
_cell_angle_alpha 90.00
_cell_angle_beta 109.43
_cell_angle_gamma 90.00
_symmetry_space_group_name_H-M 'C 1 2/m 1'
_symmetry_Int_Tables_number 12
_symmetry_space_group_name_Hall '-C 2y'
loop_
_atom_site_label
_atom_site_type_symbol
_atom_site_fract_x
_atom_site_fract_y
_atom_site_fract_z
_atom_site_occupancy
Sr1 Sr 0.244 0.000 0.254 1
Sr2 Sr 0.244 0.171 0.745 1
Se1 Se 0.000 0.000 0.500 1
Se2 Se 0.000 0.167 0.000 1
Se3 Se 0.000 0.336 0.500 1
Cl1 Cl 0.000 0.500 0.000 1
```

Values from the calculation:
Crystal system: monoclinic
Magnetic moment, Bohr magnetons per cell: 0.00
Uncorrected energy, eV per formula unit: -53.5
Volume, Å³/cell: 735.9

---

7.
This record from the Alexandria database describes a relaxed structure of Sr2SeCl2. The functional is PBE-GGA.

The structure in CIF format:
```
data_Sr2SeCl2
_chemical_formula_sum 'Sr4 Se2 Cl4'
_cell_length_a 7.803
_cell_length_b 4.504
_cell_length_c 9.093
_cell_angle_alpha 90.00
_cell_angle_beta 90.06
_cell_angle_gamma 90.00
_symmetry_space_group_name_H-M 'C 1 2/m 1'
_symmetry_Int_Tables_number 12
_symmetry_space_group_name_Hall '-C 2y'
loop_
_atom_site_label
_atom_site_type_symbol
_atom_site_fract_x
_atom_site_fract_y
_atom_site_fract_z
_atom_site_occupancy
Sr1 Sr 0.166 0.000 0.300 1
Se1 Se 0.000 0.500 0.500 1
Cl1 Cl 0.167 0.000 0.846 1
```

Values from the calculation:
Crystal system: monoclinic
Magnetic moment, Bohr magnetons per cell: 0.00
Uncorrected energy, eV per formula unit: -22.0
Volume, Å³/cell: 319.6

---

8.
This record from the Alexandria database describes a relaxed structure of Sr2ZnSeCl. The functional is PBE-GGA.

The structure in CIF format:
```
data_Sr2ZnSeCl
_chemical_formula_sum 'Sr2 Zn1 Se1 Cl1'
_cell_length_a 5.688
_cell_length_b 5.688
_cell_length_c 5.157
_cell_angle_alpha 90.00
_cell_angle_beta 90.00
_cell_angle_gamma 90.00
_symmetry_space_group_name_H-M 'P 4/m m m'
_symmetry_Int_Tables_number 123
_symmetry_space_group_name_Hall '-P 4 2'
loop_
_atom_site_label
_atom_site_type_symbol
_atom_site_fract_x
_atom_site_fract_y
_atom_site_fract_z
_atom_site_occupancy
Sr1 Sr 0.000 0.500 0.000 1
Zn1 Zn 0.000 0.000 0.500 1
Se1 Se 0.500 0.500 0.500 1
Cl1 Cl 0.000 0.000 0.000 1
```

Values from the calculation:
Crystal system: tetragonal
Magnetic moment, Bohr magnetons per cell: 0.00
Uncorrected energy, eV per formula unit: -13.6
Volume, Å³/cell: 166.8

---

9.
This record from the Alexandria database describes a relaxed structure of TaSe2Cl. The functional is PBE-GGA.

The structure in CIF format:
```
data_TaSe2Cl
_chemical_formula_sum 'Ta1 Se2 Cl1'
_cell_length_a 4.505
_cell_length_b 3.111
_cell_length_c 5.666
_cell_angle_alpha 90.00
_cell_angle_beta 108.82
_cell_angle_gamma 90.00
_symmetry_space_group_name_H-M 'P 1 2/m 1'
_symmetry_Int_Tables_number 10
_symmetry_space_group_name_Hall '-P 2y'
loop_
_atom_site_label
_atom_site_type_symbol
_atom_site_fract_x
_atom_site_fract_y
_atom_site_fract_z
_atom_site_occupancy
Ta1 Ta 0.000 0.000 0.000 1
Se1 Se 0.000 0.500 0.500 1
Se2 Se 0.500 0.000 0.500 1
Cl1 Cl 0.500 0.500 0.000 1
```

Values from the calculation:
Crystal system: monoclinic
Magnetic moment, Bohr magnetons per cell: 0.00
Uncorrected energy, eV per formula unit: -19.0
Energy relative to the lowest polymorph listed for this composition, eV/atom: 1.209
Volume, Å³/cell: 75.2

---

10.
This record from the Alexandria database describes a relaxed structure of Ta2SeCl. The functional is PBE-GGA.

The structure in CIF format:
```
data_Ta2SeCl
_chemical_formula_sum 'Ta6 Se3 Cl3'
_cell_length_a 3.0952
_cell_length_b 3.0952
_cell_length_c 25.1260
_cell_angle_alpha 90.00
_cell_angle_beta 90.00
_cell_angle_gamma 120.00
_symmetry_space_group_name_H-M 'R -3 m'
_symmetry_Int_Tables_number 166
_symmetry_space_group_name_Hall '-R 3 2"'
loop_
_atom_site_label
_atom_site_type_symbol
_atom_site_fract_x
_atom_site_fract_y
_atom_site_fract_z
_atom_site_occupancy
Ta1 Ta 0.0000 0.0000 0.2473 1
Se1 Se 0.0000 0.0000 0.5000 1
Cl1 Cl 0.0000 0.0000 0.0000 1
```

Values from the calculation:
Crystal system: trigonal
Magnetic moment, Bohr magnetons per cell: 0.00
Uncorrected energy, eV per formula unit: -28.8
Energy relative to the lowest polymorph listed for this composition, eV/atom: 0.634
Volume, Å³/cell: 208.5

---

11.
This record from the Alexandria database describes a relaxed structure of TaSeCl. The functional is PBE-GGA.

The structure in CIF format:
```
data_TaSeCl
_chemical_formula_sum 'Ta2 Se2 Cl2'
_cell_length_a 6.044
_cell_length_b 3.320
_cell_length_c 7.496
_cell_angle_alpha 90.00
_cell_angle_beta 93.55
_cell_angle_gamma 90.00
_symmetry_space_group_name_H-M 'P 1 m 1'
_symmetry_Int_Tables_number 6
_symmetry_space_group_name_Hall 'P -2y'
loop_
_atom_site_label
_atom_site_type_symbol
_atom_site_fract_x
_atom_site_fract_y
_atom_site_fract_z
_atom_site_occupancy
Ta1 Ta 0.000 0.000 0.000 1
Ta2 Ta 0.389 0.500 0.008 1
Se1 Se 0.091 0.500 0.751 1
Se2 Se 0.604 0.000 0.815 1
Cl1 Cl 0.307 0.000 0.256 1
Cl2 Cl 0.796 0.500 0.202 1
```

Values from the calculation:
Crystal system: monoclinic
Magnetic moment, Bohr magnetons per cell: 0.00
Uncorrected energy, eV per formula unit: -20.0
Volume, Å³/cell: 150.1

---

12.
This record from the Alexandria database describes a relaxed structure of Ta2SeCl. The functional is PBE-GGA.

The structure in CIF format:
```
data_Ta2SeCl
_chemical_formula_sum 'Ta8 Se4 Cl4'
_cell_length_a 6.962
_cell_length_b 6.962
_cell_length_c 6.107
_cell_angle_alpha 90.00
_cell_angle_beta 90.00
_cell_angle_gamma 90.00
_symmetry_space_group_name_H-M 'I -4 2 d'
_symmetry_Int_Tables_number 122
_symmetry_space_group_name_Hall 'I -4 2bw'
loop_
_atom_site_label
_atom_site_type_symbol
_atom_site_fract_x
_atom_site_fract_y
_atom_site_fract_z
_atom_site_occupancy
Ta1 Ta 0.220 0.250 0.125 1
Se1 Se 0.000 0.000 0.500 1
Cl1 Cl 0.000 0.000 0.000 1
```

Values from the calculation:
Crystal system: tetragonal
Magnetic moment, Bohr magnetons per cell: 0.00
Uncorrected energy, eV per formula unit: -26.9
Energy relative to the lowest polymorph listed for this composition, eV/atom: 1.113
Volume, Å³/cell: 296.0

---

13.
This record from the Alexandria database describes a relaxed structure of TaSe2Cl. The functional is PBE-GGA.

The structure in CIF format:
```
data_TaSe2Cl
_chemical_formula_sum 'Ta3 Se6 Cl3'
_cell_length_a 3.2108
_cell_length_b 3.2108
_cell_length_c 29.8788
_cell_angle_alpha 90.00
_cell_angle_beta 90.00
_cell_angle_gamma 120.00
_symmetry_space_group_name_H-M 'R 3 m'
_symmetry_Int_Tables_number 160
_symmetry_space_group_name_Hall 'R 3 -2"'
loop_
_atom_site_label
_atom_site_type_symbol
_atom_site_fract_x
_atom_site_fract_y
_atom_site_fract_z
_atom_site_occupancy
Ta1 Ta 0.0000 0.0000 0.0000 1
Se1 Se 0.0000 0.0000 0.4978 1
Se2 Se 0.0000 0.0000 0.7266 1
Cl1 Cl 0.0000 0.0000 0.2743 1
```

Values from the calculation:
Crystal system: trigonal
Magnetic moment, Bohr magnetons per cell: 0.00
Uncorrected energy, eV per formula unit: -22.0
Energy relative to the lowest polymorph listed for this composition, eV/atom: 0.463
Volume, Å³/cell: 266.8

---

14.
This record from the Alexandria database describes a relaxed structure of TaSeCl2. The functional is PBE-GGA.

The structure in CIF format:
```
data_TaSeCl2
_chemical_formula_sum 'Ta2 Se2 Cl4'
_cell_length_a 2.918
_cell_length_b 5.825
_cell_length_c 11.865
_cell_angle_alpha 90.00
_cell_angle_beta 90.00
_cell_angle_gamma 90.00
_symmetry_space_group_name_H-M 'C m m m'
_symmetry_Int_Tables_number 65
_symmetry_space_group_name_Hall '-C 2 2'
loop_
_atom_site_label
_atom_site_type_symbol
_atom_site_fract_x
_atom_site_fract_y
_atom_site_fract_z
_atom_site_occupancy
Ta1 Ta 0.000 0.000 0.000 1
Se1 Se 0.000 0.000 0.500 1
Cl1 Cl 0.000 0.500 0.168 1
```

Values from the calculation:
Crystal system: orthorhombic
Magnetic moment, Bohr magnetons per cell: 0.68
Uncorrected energy, eV per formula unit: -20.0
Energy relative to the lowest polymorph listed for this composition, eV/atom: 0.717
Volume, Å³/cell: 201.7